A geometry-optimized RbSnBi4 structure. Source: the Alexandria database, functional PBE.

Output
Total magnetic moment   0.00 μB/cell
Space-group type   C2/m
Excess energy over the best structure of this formula in the dataset   0 meV per atom
DFT total energy   -41.5 eV for the cell shown
Calculated density   7.34 g cm⁻³

Cell lengths 9.883, 9.883, 7.324 Å; angles 95.04, 95.04, 41.35 degrees
Sites, in units of the cell vectors:
Rb 0.176 0.176 0.325
Rb 0.824 0.824 0.675
Sn 0.447 0.447 0.821
Sn 0.553 0.553 0.179
Bi 0.141 0.597 0.167
Bi 0.226 0.774 0.500
Bi 0.273 0.273 0.825
Bi 0.403 0.859 0.833
Bi 0.597 0.141 0.167
Bi 0.727 0.727 0.175
Bi 0.774 0.226 0.500
Bi 0.859 0.403 0.833

A geometry-optimized Tl2Cd2In5Sn2 structure. Source: the Alexandria database, functional PBE.

Output
Total magnetic moment   0.00 μB/cell
Space-group type   I4/mmm
DFT total energy   -26.5 eV for the cell shown
Calculated density   6.46 g cm⁻³

Cell lengths 18.754, 18.754, 18.754 Å; angles 166.27, 166.27, 19.47 degrees
Sites, in units of the cell vectors:
Tl 0.218 0.218 0.000
Tl 0.782 0.782 0.000
Cd 0.075 0.075 0.000
Cd 0.925 0.925 0.000
In 0.000 0.000 0.000
In 0.131 0.631 0.500
In 0.369 0.869 0.500
In 0.631 0.131 0.500
In 0.869 0.369 0.500
Sn 0.310 0.310 0.000
Sn 0.690 0.690 0.000

A geometry-optimized Sr4GeH2 structure. Source: the Alexandria database, functional PBE.

Output
Total magnetic moment   0.74 μB/cell
Space-group type   I4/mmm
DFT total energy   -38.4 eV for the cell shown
Calculated density   2.89 g cm⁻³

Cell lengths 6.052, 6.052, 13.324 Å; angles 90.00, 90.00, 90.00 degrees
Sites, in units of the cell vectors:
Sr 0.000 0.000 0.236
Sr 0.000 0.000 0.764
Sr 0.000 0.500 0.000
Sr 0.000 0.500 0.500
Sr 0.500 0.000 0.000
Sr 0.500 0.000 0.500
Sr 0.500 0.500 0.264
Sr 0.500 0.500 0.736
Ge 0.000 0.000 0.000
Ge 0.500 0.500 0.500
H 0.000 0.000 0.412
H 0.000 0.000 0.588
H 0.500 0.500 0.088
H 0.500 0.500 0.912